[1]
Computed, not measured: a relaxed structure of VCrO3 at the PBE+U level of DFT.

Crystal system: monoclinic
E_tot (eV per atom): -7.98

Cell: 9.724 5.135 8.844 Å, 90.00 107.56 90.00°
Space group C2 (No. 5)
One atom of each set of equivalent atoms:
V 0.097 0.000 0.200
V 0.152 0.994 0.550
Cr 0.102 0.497 0.700
Cr 0.149 0.500 0.049
O 0.000 0.201 0.000
O 0.000 0.690 0.500
O 0.001 0.151 0.651
O 0.001 0.650 0.849
O 0.250 0.302 0.249
O 0.250 0.349 0.599
O 0.250 0.349 0.902

---

[2]
Computed, not measured: a relaxed structure of V3CrO8 at the PBE+U level of DFT.

Crystal system: monoclinic
E_tot (eV per atom): -7.71

Cell: 12.185 3.834 6.461 Å, 90.00 107.18 90.00°
Space group Cm (No. 8)
One atom of each set of equivalent atoms:
V 0.000 0.000 0.000
V 0.107 0.000 0.584
V 0.303 0.500 0.573
Cr 0.194 0.500 0.980
O 0.037 0.500 0.003
O 0.042 0.000 0.309
O 0.146 0.500 0.645
O 0.157 0.000 0.931
O 0.264 0.500 0.301
O 0.270 0.000 0.598
O 0.349 0.500 0.928
O 0.455 0.500 0.652

---

[3]
Computed, not measured: a relaxed structure of VCr2O at the PBE+U level of DFT.

Crystal system: tetragonal
E_tot (eV per atom): -6.57

Cell: 6.205 6.205 9.112 Å, 90.00 90.00 90.00°
Space group I-42d (No. 122)
One atom of each set of equivalent atoms:
V 0.000 0.000 0.000
Cr 0.038 0.750 0.625
O 0.000 0.000 0.500

---

[4]
Computed, not measured: a relaxed structure of VCrO2 at the PBE+U level of DFT.

Crystal system: cubic
E_tot (eV per atom): -7.09

Cell: 5.398 5.398 5.398 Å, 90.00 90.00 90.00°
Space group Fm-3m (No. 225)
One atom of each set of equivalent atoms:
V 0.000 0.000 0.000
Cr 0.000 0.000 0.500
O 0.250 0.250 0.250

---

[5]
Computed, not measured: a relaxed structure of VCrO3 at the PBE+U level of DFT.

Crystal system: triclinic
E_tot (eV per atom): -7.87

Cell: 5.081 5.433 8.884 Å, 82.24 77.50 63.39°
Space group P1 (No. 1)
One atom of each set of equivalent atoms:
V 0.000 0.000 0.000
V 0.040 0.156 0.654
V 0.233 0.465 0.842
V 0.731 0.960 0.340
Cr 0.191 0.311 0.184
Cr 0.505 0.493 0.503
Cr 0.540 0.645 0.160
Cr 0.687 0.818 0.681
O 0.116 0.968 0.222
O 0.118 0.493 0.619
O 0.291 0.592 0.031
O 0.315 0.075 0.814
O 0.416 0.888 0.523
O 0.444 0.368 0.311
O 0.612 0.477 0.719
O 0.615 0.991 0.120
O 0.793 0.088 0.529
O 0.815 0.569 0.319
O 0.917 0.387 0.027
O 0.941 0.870 0.812

---

[6]
Computed, not measured: a relaxed structure of VCrO3 at the PBE+U level of DFT.

Crystal system: triclinic
E_tot (eV per atom): -7.98

Cell: 5.115 5.494 8.855 Å, 74.52 89.98 62.39°
Space group P1 (No. 1)
One atom of each set of equivalent atoms:
V 0.000 0.000 0.000
V 0.052 0.891 0.349
V 0.250 0.500 0.749
V 0.554 0.891 0.853
Cr 0.301 0.399 0.101
Cr 0.502 0.994 0.500
Cr 0.755 0.490 0.252
Cr 0.799 0.398 0.599
O 0.001 0.692 0.202
O 0.002 0.693 0.900
O 0.053 0.194 0.452
O 0.054 0.198 0.149
O 0.097 0.197 0.799
O 0.458 0.691 0.053
O 0.500 0.696 0.700
O 0.503 0.692 0.399
O 0.553 0.193 0.649
O 0.553 0.198 0.953
O 0.598 0.196 0.300
O 0.949 0.697 0.549

---

[7]
Computed, not measured: a relaxed structure of VCrO3 at the PBE+U level of DFT.

Crystal system: trigonal
E_tot (eV per atom): -7.98

Cell: 5.1211 5.1211 13.9045 Å, 90.00 90.00 120.00°
Space group R3c (No. 161, hexagonal axes)
One atom of each set of equivalent atoms:
V 0.0000 0.0000 0.0000
Cr 0.0000 0.0000 0.2010
O 0.0325 0.3624 0.2680

---

[8]
Computed, not measured: a relaxed structure of V3Cr3W2O16 at the PBE+U level of DFT.

Crystal system: triclinic
E_tot (eV per atom): -7.69

Cell: 5.986 6.024 9.242 Å, 89.92 89.09 60.33°
Space group P1 (No. 1)
One atom of each set of equivalent atoms:
V 0.000 0.000 0.000
V 0.007 0.506 0.007
V 0.172 0.173 0.510
Cr 0.494 0.506 0.994
Cr 0.660 0.172 0.495
Cr 0.661 0.680 0.496
W 0.172 0.674 0.281
W 0.509 0.000 0.779
O 0.009 0.988 0.383
O 0.013 0.514 0.386
O 0.155 0.662 0.895
O 0.191 0.160 0.885
O 0.307 0.385 0.129
O 0.312 0.807 0.128
O 0.352 0.867 0.632
O 0.354 0.292 0.632
O 0.477 0.016 0.396
O 0.487 0.511 0.383
O 0.660 0.165 0.881
O 0.661 0.687 0.882
O 0.781 0.866 0.625
O 0.835 0.348 0.087
O 0.843 0.334 0.588
O 0.881 0.806 0.135